(1)
CaCuSbI2 | PBE | relaxed

Cell and atoms, written as CIF:
```
data_CaCuSbI2
_chemical_formula_sum 'Ca1 Cu1 Sb1 I2'
_space_group_name_H-M_alt 'P 4/m m m'
_space_group_IT_number 123
_space_group_name_Hall '-P 4 2'
_cell_length_a 5.4554
_cell_length_b 5.4554
_cell_length_c 5.2554
_cell_angle_alpha 90.00
_cell_angle_beta 90.00
_cell_angle_gamma 90.00
loop_
_atom_site_label
_atom_site_fract_x
_atom_site_fract_y
_atom_site_fract_z
_atom_site_occupancy
Ca1 0.0000 0.0000 0.0000 1
Cu1 0.5000 0.5000 0.5000 1
Sb1 0.5000 0.5000 0.0000 1
I1 0.0000 0.5000 0.5000 1
```

=====

(2)
CaCuSb2I | PBE | relaxed

Cell and atoms, written as CIF:
```
data_CaCuSb2I
_chemical_formula_sum 'Ca1 Cu1 Sb2 I1'
_space_group_name_H-M_alt 'P 4/m m m'
_space_group_IT_number 123
_space_group_name_Hall '-P 4 2'
_cell_length_a 5.8802
_cell_length_b 5.8802
_cell_length_c 5.8270
_cell_angle_alpha 90.00
_cell_angle_beta 90.00
_cell_angle_gamma 90.00
loop_
_atom_site_label
_atom_site_fract_x
_atom_site_fract_y
_atom_site_fract_z
_atom_site_occupancy
Ca1 0.0000 0.0000 0.0000 1
Cu1 0.5000 0.5000 0.5000 1
Sb1 0.0000 0.5000 0.0000 1
I1 0.0000 0.0000 0.5000 1
```

=====

(3)
CaCuSb2I | PBE | relaxed

Cell and atoms, written as CIF:
```
data_CaCuSb2I
_chemical_formula_sum 'Ca1 Cu1 Sb2 I1'
_space_group_name_H-M_alt 'P 4/m m m'
_space_group_IT_number 123
_space_group_name_Hall '-P 4 2'
_cell_length_a 4.9526
_cell_length_b 4.9526
_cell_length_c 6.4602
_cell_angle_alpha 90.00
_cell_angle_beta 90.00
_cell_angle_gamma 90.00
loop_
_atom_site_label
_atom_site_fract_x
_atom_site_fract_y
_atom_site_fract_z
_atom_site_occupancy
Ca1 0.0000 0.0000 0.0000 1
Cu1 0.5000 0.5000 0.5000 1
Sb1 0.0000 0.5000 0.5000 1
I1 0.5000 0.5000 0.0000 1
```

=====

(4)
CaCuTe2I | PBE | relaxed

Cell and atoms, written as CIF:
```
data_CaCuTe2I
_chemical_formula_sum 'Ca1 Cu1 Te2 I1'
_space_group_name_H-M_alt 'P 4/m m m'
_space_group_IT_number 123
_space_group_name_Hall '-P 4 2'
_cell_length_a 5.0707
_cell_length_b 5.0707
_cell_length_c 6.1453
_cell_angle_alpha 90.00
_cell_angle_beta 90.00
_cell_angle_gamma 90.00
loop_
_atom_site_label
_atom_site_fract_x
_atom_site_fract_y
_atom_site_fract_z
_atom_site_occupancy
Ca1 0.0000 0.0000 0.0000 1
Cu1 0.5000 0.5000 0.5000 1
Te1 0.0000 0.5000 0.5000 1
I1 0.5000 0.5000 0.0000 1
```

=====

(5)
CaCuTe2I | PBE | relaxed

Cell and atoms, written as CIF:
```
data_CaCuTe2I
_chemical_formula_sum 'Ca1 Cu1 Te2 I1'
_space_group_name_H-M_alt 'P 4/m m m'
_space_group_IT_number 123
_space_group_name_Hall '-P 4 2'
_cell_length_a 5.9320
_cell_length_b 5.9320
_cell_length_c 5.9581
_cell_angle_alpha 90.00
_cell_angle_beta 90.00
_cell_angle_gamma 90.00
loop_
_atom_site_label
_atom_site_fract_x
_atom_site_fract_y
_atom_site_fract_z
_atom_site_occupancy
Ca1 0.0000 0.0000 0.0000 1
Cu1 0.5000 0.5000 0.5000 1
Te1 0.0000 0.5000 0.0000 1
I1 0.0000 0.0000 0.5000 1
```

=====

(6)
CaCuTeI2 | PBE | relaxed

Cell and atoms, written as CIF:
```
data_CaCuTeI2
_chemical_formula_sum 'Ca1 Cu1 Te1 I2'
_space_group_name_H-M_alt 'P 4/m m m'
_space_group_IT_number 123
_space_group_name_Hall '-P 4 2'
_cell_length_a 5.9940
_cell_length_b 5.9940
_cell_length_c 6.1572
_cell_angle_alpha 90.00
_cell_angle_beta 90.00
_cell_angle_gamma 90.00
loop_
_atom_site_label
_atom_site_fract_x
_atom_site_fract_y
_atom_site_fract_z
_atom_site_occupancy
Ca1 0.0000 0.0000 0.0000 1
Cu1 0.5000 0.5000 0.5000 1
Te1 0.0000 0.0000 0.5000 1
I1 0.0000 0.5000 0.0000 1
```

=====

DFT total energy / eV/cell: -14.21 -12.48 -16.26 -15.72 -12.54 -12.32
Distance to the lowest polymorph of the same formula / meV per atom: 0 758 0 0 635 437
Energy relative to the elements, uncorrected / eV/atom: -0.18 0.68 -0.07 -0.36 0.28 0.00